Record 1
The following is a GGA-PBE calculation of crystalline BeTcBr at its relaxed geometry, from Alexandria via LeMat-Bulk.

## Properties
energy above the lowest structure with this stoichiometry	0.617	eV/atom
total moment	0.002	μB/f.u.
Fermi-level density of states	4.5	states/eV per cell
VASP energy	-4.159	eV/atom
energy relative to the elements, uncorrected	1.10	eV/atom

a = 4.1383 Å, b = 4.1383 Å, c = 4.1383 Å
α = 60.00°, β = 60.00°, γ = 60.00°
Atoms (fractional coordinates):
Be 0.0000 0.0000 0.0000
Tc 0.7500 0.7500 0.7500
Br 0.5000 0.5000 0.5000

---

Record 2
The following is a GGA-PBE calculation of crystalline BeTcBr2 at its relaxed geometry, from Alexandria via LeMat-Bulk.

## Properties
energy above the lowest structure with this stoichiometry	0.894	eV/atom
total moment	3.058	μB/f.u.
Fermi-level density of states	2.3	states/eV per cell
VASP energy	-3.392	eV/atom
energy relative to the elements, uncorrected	0.97	eV/atom

a = 6.6800 Å, b = 6.6800 Å, c = 6.6800 Å
α = 147.79°, β = 147.79°, γ = 46.19°
Site moments in Bohr magnetons follow the coordinates.
Atoms (fractional coordinates):
Be 0.7500 0.2500 0.5000  -0.05
Tc 0.5000 0.5000 0.0000  2.77
Br 0.0000 0.0000 0.0000  0.08
Br 0.2500 0.7500 0.5000  0.02

---

Record 3
The following is a GGA-PBE calculation of crystalline Be2TcBr at its relaxed geometry, from Alexandria via LeMat-Bulk.

## Properties
energy above the lowest structure with this stoichiometry	0.430	eV/atom
total moment	0.000	μB/f.u.
Fermi-level density of states	2.0	states/eV per cell
VASP energy	-4.198	eV/atom
energy relative to the elements, uncorrected	0.67	eV/atom

a = 4.7441 Å, b = 4.7441 Å, c = 4.7441 Å
α = 141.43°, β = 128.01°, γ = 66.57°
Atoms (fractional coordinates):
Be 0.9822 0.9822 0.0000
Be 0.7706 0.2706 0.5000
Tc 0.2238 0.7238 0.5000
Br 0.5235 0.5235 0.0000

---

Record 4
The following is a GGA-PBE calculation of crystalline Be2TcBr at its relaxed geometry, from Alexandria via LeMat-Bulk.

## Properties
energy above the lowest structure with this stoichiometry	0.624	eV/atom
total moment	0.000	μB/f.u.
Fermi-level density of states	5.9	states/eV per cell
VASP energy	-4.003	eV/atom
energy relative to the elements, uncorrected	0.87	eV/atom

a = 6.4387 Å, b = 6.4387 Å, c = 5.2785 Å
α = 52.42°, β = 52.42°, γ = 90.00°
Atoms (fractional coordinates):
Be 0.6203 0.1250 0.2500
Be 0.1297 0.6250 0.2500
Be 0.3750 0.3797 0.7500
Be 0.8750 0.8703 0.7500
Tc 0.0000 0.0000 0.0000
Tc 0.7500 0.2500 0.5000
Br 0.5000 0.5000 0.0000
Br 0.2500 0.7500 0.5000